Ho2Er3LuBi2Os: relaxed, PBE.

Calculated values
M_tot ... 0.07 μB/cell
Energy ... -51.64 eV per formula unit

Cell and atoms, written as CIF:
```
data_Ho2Er3LuBi2Os
_chemical_formula_sum 'Ho4 Er6 Lu2 Bi4 Os2'
_symmetry_space_group_name_H-M 'A m m 2'
_symmetry_Int_Tables_number 38
_cell_length_a 4.2193
_cell_length_b 14.2212
_cell_length_c 8.2167
_cell_angle_alpha 90.00
_cell_angle_beta 90.00
_cell_angle_gamma 90.00
loop_
_symmetry_equiv_pos_as_xyz
'x,y,z'
'-x,-y,z'
'-x,y,z'
'x,-y,z'
'x,y+1/2,z+1/2'
'-x,-y+1/2,z+1/2'
'-x,y+1/2,z+1/2'
'x,-y+1/2,z+1/2'
loop_
_atom_site_label
_atom_site_fract_x
_atom_site_fract_y
_atom_site_fract_z
_atom_site_occupancy
Ho1 0.0000 0.1170 0.0000 1
Er1 0.5000 0.0000 0.7316 1
Er2 0.5000 0.1917 0.3094 1
Lu1 0.0000 0.0000 0.3495 1
Bi1 0.0000 0.1659 0.6161 1
Os1 0.5000 0.0000 0.1212 1
```

=====

Ho3Er2LuBi2Os: relaxed, PBE.

Calculated values
M_tot ... 0.12 μB/cell
Energy ... -51.80 eV per formula unit

Cell and atoms, written as CIF:
```
data_Ho3Er2LuBi2Os
_chemical_formula_sum 'Ho6 Er4 Lu2 Bi4 Os2'
_symmetry_space_group_name_H-M 'A m m 2'
_symmetry_Int_Tables_number 38
_cell_length_a 4.2272
_cell_length_b 14.2278
_cell_length_c 8.2297
_cell_angle_alpha 90.00
_cell_angle_beta 90.00
_cell_angle_gamma 90.00
loop_
_symmetry_equiv_pos_as_xyz
'x,y,z'
'-x,-y,z'
'-x,y,z'
'x,-y,z'
'x,y+1/2,z+1/2'
'-x,-y+1/2,z+1/2'
'-x,y+1/2,z+1/2'
'x,-y+1/2,z+1/2'
loop_
_atom_site_label
_atom_site_fract_x
_atom_site_fract_y
_atom_site_fract_z
_atom_site_occupancy
Ho1 0.0000 0.0000 0.0000 1
Ho2 0.0000 0.1924 0.5794 1
Er1 0.5000 0.1163 0.2703 1
Lu1 0.5000 0.0000 0.6181 1
Bi1 0.5000 0.1661 0.8858 1
Os1 0.0000 0.0000 0.3901 1
```

=====

Question: Look up the energy of the first one.
Answer: -51.64 eV per formula unit

=====

Question: Which value of energy does entry 2 give?
Answer: -51.80 eV per formula unit